DFT (PBE-GGA) results for an optimized crystal structure of SiHgBr2.

Lattice parameters (Å, degrees): 6.8260 3.9407 10.4815 90.00 102.04 90.00
Last column: nearest neighbours and their distance in Å.
Space group C2/m (No. 12)
One atom of each set of equivalent atoms:
Si (0.0000, 0.0000, 0.0000) [2 per cell]  6 Br 2.78
Hg (0.0000, 0.5000, 0.5000) [2 per cell]  6 Hg 3.94, 6 Br 4.18-4.21
Br (0.2164, 0.5000, 0.1553) [4 per cell]  3 Si 2.78

Computed properties:
**Total moment**: 0.00 μB/atom
**Formation energy (no corrections)**: -0.18 eV per atom
**Total energy**: -9.8 eV/f.u.

DFT (PBE-GGA) results for an optimized crystal structure of MnNiHPt2.

Lattice parameters (Å, degrees): 3.9113 3.9113 3.9027 90.00 90.00 90.00
Last column: nearest neighbours and their distance in Å.
Space group P4/mmm (No. 123)
One atom of each set of equivalent atoms:
Mn (0.0000, 0.0000, 0.0000) [1 per cell]  2 H 1.95
Ni (0.5000, 0.5000, 0.0000) [1 per cell]  8 Pt 2.76, 4 Mn 2.77
H (0.0000, 0.0000, 0.5000) [1 per cell]  2 Mn 1.95, 4 Pt 1.96
Pt (0.0000, 0.5000, 0.5000) [2 per cell]  2 H 1.96

Computed properties:
**Total moment**: 1.03 μB/atom
**Total energy**: -31.1 eV/f.u.

DFT (PBE-GGA) results for an optimized crystal structure of ScIO2.

Lattice parameters (Å, degrees): 5.7597 5.7597 9.4130 90.00 90.00 90.00
Last column: nearest neighbours and their distance in Å.
Space group I-42d (No. 122)
One atom of each set of equivalent atoms:
Sc (0.0000, 0.0000, 0.0000) [4 per cell]  4 O 1.99
I (0.0000, 0.0000, 0.5000) [4 per cell]  4 O 2.86
O (0.1226, 0.2500, 0.1250) [8 per cell]  2 Sc 1.99

Computed properties:
**Total moment**: 0.00 μB/atom
**Formation energy (no corrections)**: -1.61 eV per atom
**Total energy**: -24.2 eV/f.u.

DFT (PBE-GGA) results for an optimized crystal structure of UTl2F6.

Lattice parameters (Å, degrees): 5.9127 5.9127 12.4187 90.00 90.00 90.00
Last column: nearest neighbours and their distance in Å.
Space group P4_2/mnm (No. 136)
One atom of each set of equivalent atoms:
U (0.0000, 0.0000, 0.0000) [2 per cell]  6 F 2.18-2.21
Tl (0.0000, 0.0000, 0.3380) [4 per cell]  6 F 2.73-2.98
F (0.1766, 0.1766, 0.1295) [8 per cell]  1 U 2.18
F (0.2352, 0.2352, 0.5000) [4 per cell]  1 U 2.21

Computed properties:
**Total moment**: 0.22 μB/atom
**Formation energy (no corrections)**: -2.85 eV per atom
**Total energy**: -52.9 eV/f.u.

DFT (PBE-GGA) results for an optimized crystal structure of TcAuC3.

Lattice parameters (Å, degrees): 4.0486 4.0486 4.0486 90.00 90.00 90.00
Last column: nearest neighbours and their distance in Å.
Space group Pm-3m (No. 221)
One atom of each set of equivalent atoms:
Tc (0.0000, 0.0000, 0.0000) [1 per cell]  6 C 2.02
Au (0.5000, 0.5000, 0.5000) [1 per cell]  12 C 2.86
C (0.0000, 0.0000, 0.5000) [3 per cell]  2 Tc 2.02

Computed properties:
**Total moment**: 0.00 μB/atom
**Calculated formation energy**: 2058 meV per atom
**Total energy**: -31.0 eV/f.u.

DFT (PBE-GGA) results for an optimized crystal structure of Zr2Mn2Sb.

Lattice parameters (Å, degrees): 6.5360 6.5360 4.2002 90.00 90.00 90.00
Last column: nearest neighbours and their distance in Å.
Space group P4/mbm (No. 127)
One atom of each set of equivalent atoms:
Zr (0.1821, 0.3179, 0.0000) [4 per cell]  6 Mn 2.86-2.87, 4 Sb 3.18
Mn (0.1084, 0.6084, 0.5000) [4 per cell]  1 Mn 2.00
Sb (0.0000, 0.0000, 0.5000) [2 per cell]  4 Mn 2.66

Computed properties:
**Total moment**: 0.18 μB/atom
**Formation energy (no corrections)**: -0.16 eV per atom
**Total energy**: -40.4 eV/f.u.

Q: What is the formula in the fourth record?
A: UTl2F6